1.
Computed, not measured: crystalline V2PtF at its relaxed geometry at the PBE with a Hubbard U level of DFT.

```
V2PtF
1.0
6.3288 0.0000 0.0000
0.0000 6.3288 0.0000
3.1644 3.1644 3.2729
V F Pt
4 2 2
Direct
0.8750 0.8137 0.7500
0.3750 0.4363 0.7500
0.5637 0.1250 0.2500
0.1863 0.6250 0.2500
0.5000 0.5000 0.0000
0.2500 0.7500 0.5000
0.7500 0.2500 0.5000
0.0000 0.0000 0.0000
```

## Properties
**Raw total energy**: -48.28 eV for the cell shown
**DOS(E_F)**: 1.84 states/eV/f.u.
**E above lowest polymorph**: 0.0 meV per atom



2.
Computed, not measured: crystalline Pt3WF at its relaxed geometry at the PBE with a Hubbard U level of DFT.

```
Pt3WF
1.0
-2.3778 -3.2159 -1.7704
3.2823 -2.8071 0.6907
-1.6441 -0.9531 3.9394
F Pt W
1 3 1
Direct
0.0000 0.0000 0.0000
0.5000 0.0000 0.0000
0.0000 0.0000 0.5000
0.0000 0.5000 0.0000
0.5000 0.5000 0.5000
```

## Properties
**Raw total energy**: -22.74 eV for the cell shown
**DOS(E_F)**: 3.96 states/eV/f.u.
**E above lowest polymorph**: 0.0 meV per atom